No. 1
A relaxed structure of Er8Tl3Os2. Source: the Alexandria database, functional GGA-PBE.

Cell and atoms, written as CIF:
```
data_Er8Tl3Os2
_chemical_formula_sum 'Er8 Tl3 Os2'
_cell_length_a 3.926
_cell_length_b 9.968
_cell_length_c 10.329
_cell_angle_alpha 118.85
_cell_angle_beta 92.53
_cell_angle_gamma 90.00
_space_group_name_H-M_alt 'P 1'
_space_group_IT_number 1
_space_group_name_Hall 'P 1'
loop_
_atom_site_label
_atom_site_fract_x
_atom_site_fract_y
_atom_site_fract_z
Tl1 0.500 0.000 0.000
Er1 0.745 0.425 0.851
Tl2 0.000 0.239 0.000
Er2 0.744 0.481 0.358
Er3 0.255 0.575 0.149
Er4 0.256 0.519 0.642
Tl3 0.000 0.761 0.000
Er5 0.256 0.123 0.642
Os1 0.261 0.730 0.460
Os2 0.739 0.270 0.540
Er6 0.198 0.159 0.318
Er7 0.802 0.841 0.682
Er8 0.744 0.877 0.358
```

Calculated values
The electronic total energy comes out at -5.2593 eV per atom. The space group is C2/m. The crystal system is monoclinic. The mass density is 10.95 g/cm3.

=====

No. 2
A relaxed structure of YErTlOs. Source: the Alexandria database, functional GGA-PBE.

Cell and atoms, written as CIF:
```
data_YErTlOs
_chemical_formula_sum 'Y1 Er1 Tl1 Os1'
_cell_length_a 5.049
_cell_length_b 5.049
_cell_length_c 5.049
_cell_angle_alpha 60.00
_cell_angle_beta 60.00
_cell_angle_gamma 60.00
_space_group_name_H-M_alt 'P 1'
_space_group_IT_number 1
_space_group_name_Hall 'P 1'
loop_
_atom_site_label
_atom_site_fract_x
_atom_site_fract_y
_atom_site_fract_z
Er1 0.250 0.250 0.250
Os1 0.500 0.500 0.500
Tl1 0.000 0.000 0.000
Y1 0.750 0.750 0.750
```

Calculated values
The electronic total energy comes out at -6.3175 eV per atom. The space group is F-43m. The crystal system is cubic. The mass density is 11.88 g/cm3.

=====

No. 3
A relaxed structure of Er6TmOs2. Source: the Alexandria database, functional GGA-PBE.

Cell and atoms, written as CIF:
```
data_Er6TmOs2
_chemical_formula_sum 'Er6 Tm1 Os2'
_cell_length_a 3.986
_cell_length_b 7.741
_cell_length_c 8.485
_cell_angle_alpha 78.73
_cell_angle_beta 76.42
_cell_angle_gamma 75.08
_space_group_name_H-M_alt 'P 1'
_space_group_IT_number 1
_space_group_name_Hall 'P 1'
loop_
_atom_site_label
_atom_site_fract_x
_atom_site_fract_y
_atom_site_fract_z
Er1 0.010 0.168 0.812
Er2 0.314 0.823 0.549
Os1 0.402 0.445 0.752
Er3 0.990 0.832 0.188
Er4 0.270 0.345 0.115
Os2 0.598 0.555 0.248
Er5 0.730 0.655 0.885
Er6 0.686 0.177 0.451
Tm1 0.000 0.500 0.500
```

Calculated values
The electronic total energy comes out at -6.2083 eV per atom. The space group is C2/m. The crystal system is monoclinic. The mass density is 10.60 g/cm3.

=====

No. 4
A relaxed structure of ErTmOs. Source: the Alexandria database, functional GGA-PBE.

Cell and atoms, written as CIF:
```
data_ErTmOs
_chemical_formula_sum 'Er2 Tm2 Os2'
_cell_length_a 4.759
_cell_length_b 4.759
_cell_length_c 6.647
_cell_angle_alpha 90.00
_cell_angle_beta 90.00
_cell_angle_gamma 90.00
_space_group_name_H-M_alt 'P 1'
_space_group_IT_number 1
_space_group_name_Hall 'P 1'
loop_
_atom_site_label
_atom_site_fract_x
_atom_site_fract_y
_atom_site_fract_z
Tm1 0.773 0.099 0.737
Os1 0.772 0.599 0.486
Er1 0.273 0.599 0.736
Os2 0.772 0.599 0.986
Tm2 0.272 0.598 0.236
Er2 0.772 0.098 0.236
```

Calculated values
The electronic total energy comes out at -6.8654 eV per atom. The space group is P4_2/mmc. The crystal system is tetragonal. The mass density is 11.61 g/cm3. As for the offset from the most stable computed form: 183 meV per atom.

=====

No. 5
A relaxed structure of ErTm6Os2. Source: the Alexandria database, functional GGA-PBE.

Cell and atoms, written as CIF:
```
data_ErTm6Os2
_chemical_formula_sum 'Er1 Tm6 Os2'
_cell_length_a 3.955
_cell_length_b 7.692
_cell_length_c 8.522
_cell_angle_alpha 78.39
_cell_angle_beta 76.58
_cell_angle_gamma 75.10
_space_group_name_H-M_alt 'P 1'
_space_group_IT_number 1
_space_group_name_Hall 'P 1'
loop_
_atom_site_label
_atom_site_fract_x
_atom_site_fract_y
_atom_site_fract_z
Tm1 0.273 0.343 0.112
Os1 0.398 0.449 0.755
Tm2 0.990 0.831 0.189
Tm3 0.727 0.657 0.888
Tm4 0.688 0.176 0.448
Os2 0.602 0.551 0.245
Er1 0.000 0.500 0.500
Tm5 0.312 0.824 0.552
Tm6 0.010 0.169 0.811
```

Calculated values
The electronic total energy comes out at -6.1595 eV per atom. The space group is C2/m. The crystal system is monoclinic. The mass density is 10.76 g/cm3.

=====

No. 6
A relaxed structure of ErTm3Os. Source: the Alexandria database, functional GGA-PBE.

Cell and atoms, written as CIF:
```
data_ErTm3Os
_chemical_formula_sum 'Er2 Tm6 Os2'
_cell_length_a 7.189
_cell_length_b 7.189
_cell_length_c 7.183
_cell_angle_alpha 107.14
_cell_angle_beta 114.12
_cell_angle_gamma 107.30
_space_group_name_H-M_alt 'P 1'
_space_group_IT_number 1
_space_group_name_Hall 'P 1'
loop_
_atom_site_label
_atom_site_fract_x
_atom_site_fract_y
_atom_site_fract_z
Tm1 0.702 0.444 0.146
Tm2 0.759 0.556 0.702
Er1 0.296 0.944 0.240
Tm3 0.146 0.943 0.702
Tm4 0.298 0.556 0.854
Er2 0.704 0.056 0.760
Os1 0.626 0.749 0.375
Os2 0.374 0.251 0.625
Tm5 0.854 0.057 0.298
Tm6 0.241 0.444 0.298
```

Calculated values
The electronic total energy comes out at -6.0188 eV per atom. The space group is C2/m. The crystal system is monoclinic. The mass density is 10.10 g/cm3. As for the offset from the most stable computed form: 0 meV per atom.

=====

No. 7
A relaxed structure of ErTmOs. Source: the Alexandria database, functional GGA-PBE.

Cell and atoms, written as CIF:
```
data_ErTmOs
_chemical_formula_sum 'Er2 Tm2 Os2'
_cell_length_a 3.450
_cell_length_b 5.073
_cell_length_c 8.081
_cell_angle_alpha 90.00
_cell_angle_beta 102.29
_cell_angle_gamma 90.00
_space_group_name_H-M_alt 'P 1'
_space_group_IT_number 1
_space_group_name_Hall 'P 1'
loop_
_atom_site_label
_atom_site_fract_x
_atom_site_fract_y
_atom_site_fract_z
Tm1 0.210 0.250 0.420
Er1 0.929 0.250 0.857
Tm2 0.790 0.750 0.580
Os1 0.574 0.250 0.148
Er2 0.071 0.750 0.143
Os2 0.426 0.750 0.852
```

Calculated values
The electronic total energy comes out at -6.9333 eV per atom. The space group is Cmcm. The crystal system is orthorhombic. The mass density is 12.65 g/cm3. As for the offset from the most stable computed form: 116 meV per atom.

=====

No. 8
A relaxed structure of Er3Tm2Os2. Source: the Alexandria database, functional GGA-PBE.

Cell and atoms, written as CIF:
```
data_Er3Tm2Os2
_chemical_formula_sum 'Er3 Tm2 Os2'
_cell_length_a 3.957
_cell_length_b 6.184
_cell_length_c 8.132
_cell_angle_alpha 111.05
_cell_angle_beta 90.00
_cell_angle_gamma 108.66
_space_group_name_H-M_alt 'P 1'
_space_group_IT_number 1
_space_group_name_Hall 'P 1'
loop_
_atom_site_label
_atom_site_fract_x
_atom_site_fract_y
_atom_site_fract_z
Er1 0.625 0.250 0.432
Tm1 0.166 0.332 0.818
Er2 0.500 0.000 0.000
Os1 0.177 0.355 0.214
Tm2 0.834 0.668 0.182
Os2 0.823 0.645 0.786
Er3 0.375 0.750 0.568
```

Calculated values
The electronic total energy comes out at -6.7301 eV per atom. The space group is C2/m. The crystal system is monoclinic. The mass density is 11.61 g/cm3.

=====

No. 9
A relaxed structure of Er3TmOs. Source: the Alexandria database, functional GGA-PBE.

Cell and atoms, written as CIF:
```
data_Er3TmOs
_chemical_formula_sum 'Er6 Tm2 Os2'
_cell_length_a 7.201
_cell_length_b 7.201
_cell_length_c 7.206
_cell_angle_alpha 107.36
_cell_angle_beta 113.92
_cell_angle_gamma 107.20
_space_group_name_H-M_alt 'P 1'
_space_group_IT_number 1
_space_group_name_Hall 'P 1'
loop_
_atom_site_label
_atom_site_fract_x
_atom_site_fract_y
_atom_site_fract_z
Er1 0.297 0.556 0.852
Tm1 0.298 0.944 0.242
Er2 0.853 0.055 0.296
Os1 0.624 0.750 0.375
Er3 0.241 0.443 0.296
Os2 0.376 0.250 0.625
Tm2 0.702 0.056 0.758
Er4 0.147 0.945 0.704
Er5 0.703 0.444 0.148
Er6 0.759 0.557 0.704
```

Calculated values
The electronic total energy comes out at -6.0512 eV per atom. The space group is C2/m. The crystal system is monoclinic. The mass density is 9.98 g/cm3. As for the offset from the most stable computed form: 0 meV per atom.

=====

No. 10
A relaxed structure of Er2Tm3Os2. Source: the Alexandria database, functional GGA-PBE.

Cell and atoms, written as CIF:
```
data_Er2Tm3Os2
_chemical_formula_sum 'Er2 Tm3 Os2'
_cell_length_a 3.958
_cell_length_b 6.159
_cell_length_c 8.148
_cell_angle_alpha 111.25
_cell_angle_beta 90.00
_cell_angle_gamma 108.74
_space_group_name_H-M_alt 'P 1'
_space_group_IT_number 1
_space_group_name_Hall 'P 1'
loop_
_atom_site_label
_atom_site_fract_x
_atom_site_fract_y
_atom_site_fract_z
Er1 0.165 0.329 0.815
Tm1 0.374 0.749 0.568
Tm2 0.626 0.251 0.432
Os1 0.176 0.352 0.214
Os2 0.824 0.648 0.786
Tm3 0.500 0.000 0.000
Er2 0.835 0.671 0.185
```

Calculated values
The electronic total energy comes out at -6.7241 eV per atom. The space group is C2/m. The crystal system is monoclinic. The mass density is 11.68 g/cm3.

=====

No. 11
A relaxed structure of ErTmOs. Source: the Alexandria database, functional GGA-PBE.

Cell and atoms, written as CIF:
```
data_ErTmOs
_chemical_formula_sum 'Er1 Tm1 Os1'
_cell_length_a 3.367
_cell_length_b 3.367
_cell_length_c 6.856
_cell_angle_alpha 104.21
_cell_angle_beta 104.21
_cell_angle_gamma 90.00
_space_group_name_H-M_alt 'P 1'
_space_group_IT_number 1
_space_group_name_Hall 'P 1'
loop_
_atom_site_label
_atom_site_fract_x
_atom_site_fract_y
_atom_site_fract_z
Tm1 0.323 0.323 0.647
Os1 0.950 0.950 0.899
Er1 0.577 0.577 0.154
```

Calculated values
The electronic total energy comes out at -7.0488 eV per atom. The space group is I4mm. The crystal system is tetragonal. The mass density is 11.99 g/cm3. As for the offset from the most stable computed form: 0 meV per atom.

=====

No. 12
A relaxed structure of Er3TmOs. Source: the Alexandria database, functional GGA-PBE.

Cell and atoms, written as CIF:
```
data_Er3TmOs
_chemical_formula_sum 'Er6 Tm2 Os2'
_cell_length_a 3.521
_cell_length_b 9.496
_cell_length_c 8.754
_cell_angle_alpha 105.76
_cell_angle_beta 101.60
_cell_angle_gamma 90.00
_space_group_name_H-M_alt 'P 1'
_space_group_IT_number 1
_space_group_name_Hall 'P 1'
loop_
_atom_site_label
_atom_site_fract_x
_atom_site_fract_y
_atom_site_fract_z
Er1 0.999 0.824 0.997
Tm1 0.308 0.693 0.616
Os1 0.862 0.934 0.725
Er2 0.099 0.538 0.199
Tm2 0.692 0.307 0.384
Er3 0.314 0.132 0.629
Os2 0.138 0.066 0.275
Er4 0.901 0.462 0.801
Er5 0.686 0.868 0.371
Er6 0.001 0.176 0.003
```

Calculated values
The electronic total energy comes out at -5.8835 eV per atom. The space group is C2/m. The crystal system is monoclinic. The mass density is 10.38 g/cm3. As for the offset from the most stable computed form: 168 meV per atom.

=====

What did the fourth record say?
A relaxed structure of ErTmOs. Source: the Alexandria database, functional GGA-PBE.

Cell and atoms, written as CIF:
```
data_ErTmOs
_chemical_formula_sum 'Er2 Tm2 Os2'
_cell_length_a 4.759
_cell_length_b 4.759
_cell_length_c 6.647
_cell_angle_alpha 90.00
_cell_angle_beta 90.00
_cell_angle_gamma 90.00
_space_group_name_H-M_alt 'P 1'
_space_group_IT_number 1
_space_group_name_Hall 'P 1'
loop_
_atom_site_label
_atom_site_fract_x
_atom_site_fract_y
_atom_site_fract_z
Tm1 0.773 0.099 0.737
Os1 0.772 0.599 0.486
Er1 0.273 0.599 0.736
Os2 0.772 0.599 0.986
Tm2 0.272 0.598 0.236
Er2 0.772 0.098 0.236
```

Calculated values
The electronic total energy comes out at -6.8654 eV per atom. The space group is P4_2/mmc. The crystal system is tetragonal. The mass density is 11.61 g/cm3. As for the offset from the most stable computed form: 183 meV per atom.

=====

electronic total energy of number 2 (YErTlOs)?
-6.3175 eV per atom

=====

Which value of mass density does entry 1 give?
10.95 g/cm3